# 1
12
Lattice="-2.869 3.502 2.335 -5.029 0.120 -0.802 -3.743 -3.843 6.719" Properties=species:S:1:pos:R:3 comment="PBE Dy2YFe9, optimized geometry" dos_at_fermi_per_ev_cell=14.86 rho_kg_m3=8383 magnetic_moment_mub_per_cell=17.075 vol_a3_per_cell=181.6 final_energy_ev_per_atom=-7.72 pbc="T T T"
Fe -5.987 -2.548 4.804
Fe -4.909 -0.860 6.370
Fe -5.821 -0.111 4.126
Fe -5.655 2.326 3.448
Fe -6.733 0.638 1.882
Fe -9.007 -1.421 7.732
Fe -4.223 0.579 2.283
Fe -2.634 1.200 0.520
Fe -7.419 -0.800 5.969
Dy -8.371 1.470 4.177
Dy -3.270 -1.692 4.075
Y 0.000 0.000 0.000



# 2
12
Lattice="3.945 0.000 0.000 0.000 5.005 0.000 0.000 0.000 8.636" Properties=species:S:1:pos:R:3 comment="PBE DyYFe10, optimized geometry" dos_at_fermi_per_ev_cell=10.90 rho_kg_m3=7888 magnetic_moment_mub_per_cell=19.424 vol_a3_per_cell=170.5 final_energy_ev_per_atom=-8.02 pbc="T T T"
Fe 0.000 0.000 2.876
Fe 1.972 1.250 2.156
Fe 1.972 3.755 2.156
Fe 0.000 2.503 7.204
Fe 1.972 2.503 0.000
Fe 1.972 3.755 6.480
Fe 1.972 1.250 6.480
Fe 1.972 0.000 4.318
Fe 0.000 2.503 1.431
Fe 0.000 0.000 5.759
Dy 0.000 0.000 0.000
Y 0.000 2.503 4.318



# 3
4
Lattice="3.472 0.000 0.000 1.736 3.007 0.000 1.736 1.002 10.562" Properties=species:S:1:pos:R:3 comment="PBE Dy2YFe, optimized geometry" dos_at_fermi_per_ev_cell=5.34 rho_kg_m3=7076 magnetic_moment_mub_per_cell=0.489 vol_a3_per_cell=110.2 de_polymorph_mev_per_atom=337 final_energy_ev_per_atom=-5.70 pbc="T T T"
Dy 1.736 1.002 7.132
Dy 5.208 3.007 3.430
Fe 3.472 2.004 5.281
Y 0.000 0.000 0.000



# 4
5
Lattice="5.286 0.000 0.000 0.000 5.286 0.000 0.000 0.000 5.286" Properties=species:S:1:pos:R:3 comment="PBE DyY3Fe, optimized geometry" dos_at_fermi_per_ev_cell=7.52 rho_kg_m3=5452 magnetic_moment_mub_per_cell=0.007 vol_a3_per_cell=147.7 final_energy_ev_per_atom=-6.36 pbc="T T T"
Y 2.643 0.000 0.000
Y 0.000 0.000 2.643
Y 0.000 2.643 0.000
Dy 2.643 2.643 2.643
Fe 0.000 0.000 0.000



For the records above, the corresponding ΔH_f (0 K) values read -70, -47, 335, 127 meV per atom.